Here is CaTaP2O after structural relaxation from Alexandria via LeMat-Bulk. Energies are from PBE.

excess energy over the best structure of this formula in the dataset: 1962 meV per atom
energy: -5.101 eV/atom
magnetic moment: 0.64 μB/f.u.
D(E_F): 5.6 states/eV/f.u.
theoretical density: 5.1 Mg/m³
formation energy without anion corrections: 826 meV per atom
calculated volume: 19.6 A^3/atom

a = 4.997 Å, b = 4.997 Å, c = 3.925 Å
α = 90.00°, β = 90.00°, γ = 90.00°
Each line ends with the local moment (μB).
Sites, in units of the cell vectors:
O 0.000 0.000 0.500  -0.08
Ta 0.500 0.500 0.500  0.77
Ca 0.000 0.000 0.000  -0.01
P 0.000 0.500 0.000  -0.09
P 0.500 0.000 0.000  -0.09

=====

Here is CaTaP2O after structural relaxation from Alexandria via LeMat-Bulk. Energies are from PBE.

excess energy over the best structure of this formula in the dataset: 0 meV per atom
energy: -7.063 eV/atom
magnetic moment: 0.00 μB/f.u.
D(E_F): 3.1 states/eV/f.u.
theoretical density: 5.1 Mg/m³
formation energy without anion corrections: -1136 meV per atom
calculated volume: 19.4 A^3/atom

a = 4.969 Å, b = 4.969 Å, c = 3.926 Å
α = 90.00°, β = 90.00°, γ = 90.00°
Sites, in units of the cell vectors:
P 0.000 0.500 0.000
O 0.000 0.000 0.500
Ca 0.500 0.500 0.500
Ta 0.000 0.000 0.000
P 0.500 0.000 0.000

=====

Here is CaTb4P4O16 after structural relaxation from Alexandria via LeMat-Bulk. Energies are from PBE.

energy: -7.749 eV/atom
magnetic moment: 0.00 μB/f.u.
D(E_F): 0.0 states/eV/f.u.
theoretical density: 5.0 Mg/m³
formation energy without anion corrections: -2889 meV per atom
calculated volume: 14.1 A^3/atom

a = 6.564 Å, b = 6.775 Å, c = 8.498 Å
α = 95.70°, β = 107.03°, γ = 99.05°
Sites, in units of the cell vectors:
O 0.107 0.663 0.843
O 0.965 0.854 0.163
Ca 0.038 0.473 0.552
O 0.422 0.630 0.737
O 0.191 0.253 0.439
O 0.389 0.277 0.114
P 0.344 0.766 0.861
O 0.891 0.049 0.891
O 0.093 0.802 0.459
P 0.632 0.351 0.186
O 0.368 0.928 0.324
Tb 0.075 0.229 0.165
O 0.349 0.979 0.815
O 0.741 0.411 0.053
O 0.739 0.328 0.719
O 0.696 0.530 0.333
Tb 0.699 0.862 0.316
P 0.151 0.778 0.293
O 0.167 0.566 0.233
Tb 0.405 0.101 0.596
Tb 0.780 0.651 0.893
P 0.896 0.152 0.732
O 0.515 0.767 0.033
O 0.726 0.979 0.583
O 0.754 0.183 0.261

=====

Here is CaTbP2O8 after structural relaxation from Alexandria via LeMat-Bulk. Energies are from PBE.

energy: -7.380 eV/atom
magnetic moment: 1.02 μB/f.u.
D(E_F): 9.0 states/eV/f.u.
theoretical density: 3.7 Mg/m³
formation energy without anion corrections: -2620 meV per atom
calculated volume: 14.7 A^3/atom

a = 5.372 Å, b = 5.372 Å, c = 7.049 Å
α = 90.00°, β = 90.00°, γ = 120.00°
Each line ends with the local moment (μB).
Sites, in units of the cell vectors:
Ca 0.000 0.000 0.000  0.00
Tb 0.000 0.000 0.500  0.00
O 0.352 0.176 0.280  0.06
O 0.176 0.824 0.720  0.06
O 0.176 0.352 0.720  0.06
P 0.333 0.667 0.792  -0.01
O 0.824 0.648 0.280  0.06
P 0.667 0.333 0.208  -0.01
O 0.824 0.176 0.280  0.06
O 0.648 0.824 0.720  0.06
O 0.333 0.667 0.011  0.24
O 0.667 0.333 0.989  0.24

=====

Here is CaTcP2O after structural relaxation from Alexandria via LeMat-Bulk. Energies are from PBE.

excess energy over the best structure of this formula in the dataset: 0 meV per atom
energy: -6.252 eV/atom
magnetic moment: 0.00 μB/f.u.
D(E_F): 2.2 states/eV/f.u.
theoretical density: 4.0 Mg/m³
formation energy without anion corrections: -623 meV per atom
calculated volume: 17.8 A^3/atom

a = 4.844 Å, b = 4.844 Å, c = 3.791 Å
α = 90.00°, β = 90.00°, γ = 90.00°
Sites, in units of the cell vectors:
P 0.000 0.500 0.000
Tc 0.000 0.000 0.000
Ca 0.500 0.500 0.500
P 0.500 0.000 0.000
O 0.000 0.000 0.500

=====

Here is CaTcPO2 after structural relaxation from Alexandria via LeMat-Bulk. Energies are from PBE.

excess energy over the best structure of this formula in the dataset: 1522 meV per atom
energy: -5.178 eV/atom
magnetic moment: 5.05 μB/f.u.
D(E_F): 2.9 states/eV/f.u.
theoretical density: 3.4 Mg/m³
formation energy without anion corrections: 361 meV per atom
calculated volume: 19.6 A^3/atom

a = 4.076 Å, b = 4.076 Å, c = 5.889 Å
α = 90.00°, β = 90.00°, γ = 90.00°
Each line ends with the local moment (μB).
Sites, in units of the cell vectors:
Tc 0.500 0.500 0.500  3.41
O 0.500 0.000 0.000  0.69
Ca 0.000 0.000 0.000  0.02
O 0.000 0.500 0.000  0.69
P 0.000 0.000 0.500  -0.22

=====

Here is CaTcP2O8 after structural relaxation from Alexandria via LeMat-Bulk. Energies are from PBE.

energy: -7.381 eV/atom
magnetic moment: 3.00 μB/f.u.
theoretical density: 3.5 Mg/m³
formation energy without anion corrections: -2143 meV per atom
calculated volume: 13.1 A^3/atom

a = 5.181 Å, b = 5.181 Å, c = 6.740 Å
α = 90.00°, β = 90.00°, γ = 120.00°
Each line ends with the local moment (μB).
Sites, in units of the cell vectors:
Ca 0.000 0.000 0.500  0.01
P 0.667 0.333 0.270  0.01
O 0.830 0.170 0.193  0.07
O 0.339 0.170 0.193  0.07
O 0.830 0.661 0.193  0.07
O 0.333 0.667 0.506  0.01
O 0.170 0.830 0.807  0.07
P 0.333 0.667 0.730  0.01
O 0.667 0.333 0.494  0.01
Tc 0.000 0.000 0.000  2.29
O 0.170 0.339 0.807  0.07
O 0.661 0.830 0.807  0.07

=====

Here is CaTc2PO after structural relaxation from Alexandria via LeMat-Bulk. Energies are from PBE.

energy: -5.018 eV/atom
magnetic moment: 6.42 μB/f.u.
D(E_F): 3.8 states/eV/f.u.
theoretical density: 4.5 Mg/m³
formation energy without anion corrections: 1602 meV per atom
calculated volume: 21.1 A^3/atom

a = 5.154 Å, b = 3.974 Å, c = 5.154 Å
α = 90.00°, β = 90.00°, γ = 90.00°
Each line ends with the local moment (μB).
Sites, in units of the cell vectors:
Tc 0.000 0.000 0.500  2.75
P 0.500 0.500 0.500  -0.19
O 0.000 0.500 0.000  0.14
Tc 0.500 0.000 0.000  3.09
Ca 0.000 0.000 0.000  0.01

=====

Here is CaTcP2O after structural relaxation from Alexandria via LeMat-Bulk. Energies are from PBE.

excess energy over the best structure of this formula in the dataset: 1625 meV per atom
energy: -4.628 eV/atom
magnetic moment: 2.03 μB/f.u.
D(E_F): 4.4 states/eV/f.u.
theoretical density: 3.3 Mg/m³
formation energy without anion corrections: 1002 meV per atom
calculated volume: 21.9 A^3/atom

a = 5.189 Å, b = 5.189 Å, c = 4.075 Å
α = 90.00°, β = 90.00°, γ = 90.00°
Each line ends with the local moment (μB).
Sites, in units of the cell vectors:
Ca 0.000 0.000 0.000  -0.03
O 0.000 0.000 0.500  -0.46
P 0.500 0.000 0.000  -0.32
P 0.000 0.500 0.000  -0.32
Tc 0.500 0.500 0.500  3.46

=====

Here is CaTcPO2 after structural relaxation from Alexandria via LeMat-Bulk. Energies are from PBE.

excess energy over the best structure of this formula in the dataset: 0 meV per atom
energy: -6.700 eV/atom
magnetic moment: 0.02 μB/f.u.
D(E_F): 3.4 states/eV/f.u.
theoretical density: 4.4 Mg/m³
formation energy without anion corrections: -1161 meV per atom
calculated volume: 15.3 A^3/atom

a = 3.911 Å, b = 3.911 Å, c = 4.996 Å
α = 90.00°, β = 90.00°, γ = 90.00°
Sites, in units of the cell vectors:
P 0.000 0.000 0.500
O 0.500 0.000 0.000
Tc 0.000 0.000 0.000
O 0.000 0.500 0.000
Ca 0.500 0.500 0.500

=====

Here is CaTePO2 after structural relaxation from Alexandria via LeMat-Bulk. Energies are from PBE.

excess energy over the best structure of this formula in the dataset: 787 meV per atom
energy: -4.154 eV/atom
magnetic moment: 0.00 μB/f.u.
D(E_F): 7.7 states/eV/f.u.
theoretical density: 3.6 Mg/m³
formation energy without anion corrections: -60 meV per atom
calculated volume: 21.3 A^3/atom

a = 4.167 Å, b = 6.125 Å, c = 4.167 Å
α = 90.00°, β = 90.00°, γ = 90.00°
Sites, in units of the cell vectors:
O 0.500 0.000 0.000
Te 0.500 0.500 0.500
Ca 0.000 0.000 0.000
O 0.000 0.000 0.500
P 0.000 0.500 0.000

=====

Here is CaTePO2 after structural relaxation from Alexandria via LeMat-Bulk. Energies are from PBE.

excess energy over the best structure of this formula in the dataset: 0 meV per atom
energy: -4.941 eV/atom
magnetic moment: 0.00 μB/f.u.
D(E_F): 0.6 states/eV/f.u.
theoretical density: 4.3 Mg/m³
formation energy without anion corrections: -847 meV per atom
calculated volume: 17.7 A^3/atom

a = 4.146 Å, b = 4.146 Å, c = 5.147 Å
α = 90.00°, β = 90.00°, γ = 90.00°
Sites, in units of the cell vectors:
Ca 0.500 0.500 0.500
O 0.500 0.000 0.000
O 0.000 0.500 0.000
P 0.000 0.000 0.500
Te 0.000 0.000 0.000